Here is a geometry-optimized RbAcCo2O6 structure from the Alexandria database. Energies are from PBE with a Hubbard U.

a = 7.484 Å, b = 7.484 Å, c = 7.976 Å
α = 100.99°, β = 100.99°, γ = 107.20°
Each line ends with the local moment (μB).
Positions (direct):
1 O 0.534 0.326 0.915  0.18
2 O 0.914 0.473 0.240  0.21
3 O 0.674 0.466 0.585  0.18
4 O 0.326 0.534 0.415  0.18
5 O 0.473 0.914 0.740  0.21
6 O 0.820 0.746 0.876  0.24
7 O 0.180 0.254 0.124  0.24
8 O 0.254 0.180 0.624  0.24
9 O 0.086 0.527 0.760  0.21
10 O 0.527 0.086 0.260  0.21
11 O 0.746 0.820 0.376  0.24
12 O 0.466 0.674 0.085  0.18
13 Co 0.414 0.116 0.755  2.16
14 Co 0.586 0.884 0.245  2.16
15 Co 0.116 0.414 0.255  2.16
16 Co 0.884 0.586 0.745  2.16
17 Rb 0.103 0.897 0.250  0.00
18 Rb 0.897 0.103 0.750  0.00
19 Ac 0.431 0.569 0.750  0.06
20 Ac 0.569 0.431 0.250  0.06

- magnetization (μB per atom) = 0.60
- calculated total energy (eV per atom) = -5.98